# Pm6Co2H

A relaxed Pm6Co2H crystal (PBE, Alexandria via LeMat-Bulk).

a = 6.4339 Å, b = 7.0296 Å, c = 11.6342 Å
α = 90.00°, β = 122.54°, γ = 90.00°
Closest atoms and distances in Å follow each position.
Atoms (fractional coordinates):
1 Pm 0.1078 0.0443 0.2537  1 H 2.63, 2 Co 2.73-2.90
2 Pm 0.1078 0.4557 0.7537  1 H 2.63, 2 Co 2.73-2.90
3 Pm 0.2418 0.6683 0.0706  1 H 2.51, 1 Co 2.80
4 Pm 0.2418 0.8317 0.5706  1 H 2.51, 1 Co 2.80
5 Pm 0.3912 0.1697 0.0684  1 H 2.67, 2 Co 2.74-2.92
6 Pm 0.3912 0.3303 0.5684  1 H 2.67, 2 Co 2.74-2.92
7 Pm 0.6088 0.6697 0.4316  1 H 2.67, 2 Co 2.74-2.92
8 Pm 0.6088 0.8303 0.9316  1 H 2.67, 2 Co 2.74-2.92
9 Pm 0.7582 0.1683 0.4294  1 H 2.51, 1 Co 2.80
10 Pm 0.7582 0.3317 0.9294  1 H 2.51, 1 Co 2.80
11 Pm 0.8922 0.5443 0.2463  1 H 2.63, 2 Co 2.73-2.90
12 Pm 0.8922 0.9557 0.7463  1 H 2.63, 2 Co 2.73-2.90
13 Co 0.3185 0.1159 0.7587  6 Pm 2.73-2.92
14 Co 0.3185 0.3841 0.2587  6 Pm 2.73-2.92
15 Co 0.6815 0.6159 0.7413  6 Pm 2.73-2.92
16 Co 0.6815 0.8841 0.2413  6 Pm 2.73-2.92
17 H 0.5000 0.0000 0.5000  6 Pm 2.51-2.67
18 H 0.5000 0.5000 0.0000  6 Pm 2.51-2.67

Results
Energy above the lowest structure with this stoichiometry: 0 kJ/mol of formula units
N(E_F): 8.926 states/eV/f.u.